(1)
Computed, not measured: an optimized crystal structure of MgAgHg2F6 at the PBE level of DFT.

Cell and atoms, written as extended XYZ:
```
10
Lattice="6.088 0.026 -0.011 3.066 5.273 0.000 3.044 1.770 4.653" Properties=species:S:1:pos:R:3 pbc="T T T"
Mg 3.052 1.766 0.185
Ag 9.133 5.308 3.161
F 4.997 5.697 1.187
F 4.512 3.470 3.530
F 6.947 2.189 3.541
F 4.775 1.478 1.193
Hg 3.059 1.777 4.335
F 6.838 4.935 3.534
F 8.528 3.433 1.173
Hg 6.099 3.526 1.447
```

**Total magnetization**: 0.00 μB/atom
**E_tot**: -34.54 eV per cell
**Uncorrected formation energy**: -1.827 eV/atom
**Space-group type**: P1, No. 1

=====

(2)
Computed, not measured: an optimized crystal structure of MgAgHg2F8 at the PBE level of DFT.

Cell and atoms, written as extended XYZ:
```
12
Lattice="-4.784 0.172 -0.136 -0.098 -5.147 -0.987 -0.174 -1.725 7.009" Properties=species:S:1:pos:R:3 pbc="T T T"
F -0.833 -4.284 0.671
Ag -0.087 -0.863 3.505
Hg -2.595 -2.935 1.099
F -4.224 -2.416 5.215
F -1.691 -2.203 3.175
F -3.365 -4.498 2.712
Mg 0.000 0.000 0.000
F -1.554 -1.227 -0.190
F -3.502 -5.474 6.076
F -4.086 -1.184 1.362
Hg -2.461 -3.766 4.788
F -0.970 -5.517 4.525
```

**Total magnetization**: 0.08 μB/atom
**E_tot**: -42.12 eV per cell
**Uncorrected formation energy**: -1.842 eV/atom
**Space-group type**: P-1, No. 2

=====

> What is the formula in the second record?

MgAgHg2F8